Computed, not measured: an optimized crystal structure of BaTl5 at the PBEsol level of DFT.

Unit cell a=6.4037 b=6.4037 c=6.4037 alpha=60.00 beta=60.00 gamma=60.00
Fractional positions:
Tl 0.2500 0.2500 0.2500
Tl 0.6242 0.1273 0.6242
Tl 0.6242 0.6242 0.1273
Tl 0.6242 0.6242 0.6242
Tl 0.1273 0.6242 0.6242
Ba 0.0000 0.0000 0.0000

Output
Energy relative to the elements ... -0.170 eV/atom
Space group ... F-43m (216)
Energy above the lowest structure with this stoichiometry ... 29 meV per atom

=====

Computed, not measured: an optimized crystal structure of RbCd3Cu at the PBEsol level of DFT.

Unit cell a=6.4696 b=6.4696 c=6.4696 alpha=90.00 beta=90.00 gamma=90.00
Last column: magnetic moment on the atom in μB.
Fractional positions:
Cu 0.5000 0.5000 0.5000  0.17
Rb 0.0000 0.0000 0.0000  0.00
Cd 0.0000 0.5000 0.0000  0.00
Cd 0.0000 0.0000 0.5000  0.00
Cd 0.5000 0.0000 0.0000  0.00

Output
Energy relative to the elements ... 1.234 eV/atom
Space group ... Pm-3m (221)
Energy above the lowest structure with this stoichiometry ... 1143 meV per atom

=====

Computed, not measured: an optimized crystal structure of LiNbAg2F at the PBEsol level of DFT.

Unit cell a=3.0672 b=5.1166 c=5.1166 alpha=90.00 beta=90.00 gamma=90.00
Fractional positions:
Nb 0.5000 0.5000 0.5000
Li 0.5000 0.0000 0.0000
Ag 0.0000 0.0000 0.5000
Ag 0.0000 0.5000 0.0000
F 0.0000 0.0000 0.0000

Output
Space group ... P4/mmm (123)
Uncorrected formation energy ... -0.184 eV/atom

=====

Computed, not measured: an optimized crystal structure of InNi6Ru at the PBEsol level of DFT.

Unit cell a=6.2566 b=6.2566 c=10.2268 alpha=90.00 beta=90.00 gamma=109.49
Last column: magnetic moment on the atom in μB.
Fractional positions:
In 0.2537 0.7463 0.0000  -0.01
In 0.7463 0.2537 0.0000  -0.01
In 0.5000 0.5000 0.7479  -0.01
In 0.5000 0.5000 0.2521  -0.01
Ni 0.2447 0.7553 0.7418  0.32
Ni 0.8808 0.6357 0.8699  0.21
Ni 0.1192 0.3643 0.8699  0.21
Ni 0.7553 0.2447 0.7418  0.32
Ni 0.3643 0.1192 0.8699  0.21
Ni 0.6357 0.8808 0.8699  0.21
Ni 0.5000 0.5000 0.5000  0.26
Ni 0.1151 0.3707 0.6207  0.34
Ni 0.3707 0.1151 0.6207  0.34
Ni 0.2447 0.7553 0.2582  0.32
Ni 0.8849 0.6293 0.3793  0.34
Ni 0.1151 0.3707 0.3793  0.34
Ni 0.7553 0.2447 0.2582  0.32
Ni 0.3707 0.1151 0.3793  0.34
Ni 0.6293 0.8849 0.3793  0.34
Ni 0.5000 0.5000 0.0000  0.09
Ni 0.1192 0.3643 0.1301  0.21
Ni 0.3643 0.1192 0.1301  0.21
Ni 0.0000 0.0000 0.5000  0.48
Ni 0.6293 0.8849 0.6207  0.34
Ni 0.8849 0.6293 0.6207  0.34
Ni 0.0000 0.0000 0.0000  0.18
Ni 0.6357 0.8808 0.1301  0.21
Ni 0.8808 0.6357 0.1301  0.21
Ru 0.2539 0.7461 0.5000  0.91
Ru 0.7461 0.2539 0.5000  0.91
Ru 0.0000 0.0000 0.7489  0.84
Ru 0.0000 0.0000 0.2511  0.84

Output
Energy relative to the elements ... 0.028 eV/atom
Space group ... Cmmm (65)

=====

Computed, not measured: an optimized crystal structure of TcBrCl at the PBEsol level of DFT.

Unit cell a=3.0254 b=3.2625 c=7.2700 alpha=84.46 beta=77.99 gamma=62.38
Fractional positions:
Tc 0.3296 0.0000 0.3409
Br 0.9678 0.0000 0.0643
Cl 0.7026 0.0000 0.5948

Output
Space group ... Fmm2 (42)
Energy above the lowest structure with this stoichiometry ... 0 meV per atom
Uncorrected formation energy ... 0.121 eV/atom

=====

Computed, not measured: an optimized crystal structure of ReNiTe at the PBEsol level of DFT.

Unit cell a=3.0585 b=3.0585 c=5.9094 alpha=90.00 beta=90.00 gamma=120.00
Fractional positions:
Ni 0.0000 0.0000 0.9912
Re 0.6667 0.3333 0.6812
Te 0.3333 0.6667 0.3277

Output
Space group ... P3m1 (156)
Energy above the lowest structure with this stoichiometry ... 0 meV per atom
Uncorrected formation energy ... 0.615 eV/atom

=====

Computed, not measured: an optimized crystal structure of YZn2Cu at the PBEsol level of DFT.

Unit cell a=4.5343 b=4.5370 c=4.5370 alpha=59.96 beta=60.02 gamma=60.02
Fractional positions:
Y 0.7500 0.7500 0.7500
Zn 0.9999 0.0001 0.0001
Zn 0.2500 0.2500 0.2500
Cu 0.5001 0.4999 0.4999

Output
Energy relative to the elements ... -0.265 eV/atom
Space group ... F-43m (216)

=====

Computed, not measured: an optimized crystal structure of LiEr2Rh at the PBEsol level of DFT.

Unit cell a=4.8121 b=4.8121 c=4.8121 alpha=60.00 beta=60.00 gamma=60.00
Fractional positions:
Er 0.2500 0.2500 0.2500
Er 0.7500 0.7500 0.7500
Rh 0.0000 0.0000 0.0000
Li 0.5000 0.5000 0.5000

Output
Energy relative to the elements ... -0.496 eV/atom
Space group ... Fm-3m (225)

=====

Number 1: raw total energy -2.720 eV per atom. Number 2: raw total energy -0.556 eV per atom. Number 3: raw total energy -4.452 eV per atom. Number 4: raw total energy -6.234 eV per atom. Number 5: raw total energy -4.927 eV per atom. Number 6: raw total energy -7.057 eV per atom. Number 7: raw total energy -3.845 eV per atom. Number 8: raw total energy -5.486 eV per atom.